Crystalline CrTe2 at its relaxed geometry, computed with PBEsol.

Unit cell a=7.2307 b=7.2307 c=5.4725 alpha=90.00 beta=90.00 gamma=148.75
Fractional coordinates of all 6 atoms:
Cr1 0.1733 0.8267 0.7500
Cr2 0.8267 0.1733 0.2500
Te1 0.1919 0.8081 0.2500
Te2 0.4595 0.5405 0.2500
Te3 0.5405 0.4595 0.7500
Te4 0.8081 0.1919 0.7500

Fermi-level density of states, states/eV per atom: 0.45
Electronic total energy, eV/atom: -5.8372
Magnetization, μB/f.u.: 3.0
Energy relative to the elements, uncorrected, eV/atom: -0.0724